Pm6InTe5: relaxed, GGA-PBE.

Calculated values
For the total energy, the calculation gives -5.185 eV per atom. The mass density is 7.06 g/cm3. The uncorrected formation energy comes out at -1.272 eV per atom. For the volume, the calculation gives 31.8 Å³/atom. For the total moment, the calculation gives 0.00 μB/f.u.

Cell: 7.7594 7.7717 7.7506 Å, 59.91 80.44 70.66°
With the nearest neighbours (Å) after each atom.
Sites, in units of the cell vectors:
Te: 0.0000 0.6661 0.6678  6 Pm 3.17
Pm: 0.7544 0.7564 0.0000  1 In 3.10, 5 Te 3.17-3.24
Pm: 0.2450 0.9189 0.6738  1 In 3.10, 5 Te 3.16-3.21
Pm: 0.2456 0.2436 0.0000  1 In 3.10, 5 Te 3.17-3.24
Te: 0.0000 0.3339 0.3322  6 Pm 3.17
In: 0.0000 0.0000 0.0000  6 Pm 3.10
Pm: 0.7550 0.0811 0.3262  1 In 3.10, 5 Te 3.16-3.21
Te: 0.5000 0.8307 0.3386  6 Pm 3.16-3.21
Te: 0.5000 0.1693 0.6614  6 Pm 3.16-3.21
Pm: 0.7550 0.4073 0.6738  1 In 3.10, 5 Te 3.16-3.21
Te: 0.5000 0.5000 0.0000  6 Pm 3.17-3.24
Pm: 0.2450 0.5927 0.3262  1 In 3.10, 5 Te 3.16-3.21

***

HgGeTe2N: relaxed, GGA-PBE.

Calculated values
For the total energy, the calculation gives -3.299 eV per atom. The mass density is 7.45 g/cm3. The uncorrected formation energy comes out at 0.607 eV per atom. For the volume, the calculation gives 24.2 Å³/atom. For the total moment, the calculation gives 0.00 μB/f.u.

Cell: 5.8822 5.8822 3.4925 Å, 90.00 90.00 90.00°
With the nearest neighbours (Å) after each atom.
Sites, in units of the cell vectors:
Hg: 0.5000 0.5000 0.5000  8 Te 3.42, 2 Hg 3.49
Te: 0.5000 0.0000 0.0000  2 Ge 2.94
Ge: 0.0000 0.0000 0.0000  2 N 1.75
Te: 0.0000 0.5000 0.0000  2 Ge 2.94
N: 0.0000 0.0000 0.5000  2 Ge 1.75

***

Ti2Ga2Mo: relaxed, GGA-PBE.

Calculated values
For the total energy, the calculation gives -6.684 eV per atom. The formation energy from the elements is -149 meV/atom. The mass density is 6.33 g/cm3. For the volume, the calculation gives 17.4 Å³/atom. For the total moment, the calculation gives 0.55 μB/f.u.

Cell: 4.9053 5.3306 7.1576 Å, 111.86 90.00 90.00°
With the nearest neighbours (Å) after each atom.
Sites, in units of the cell vectors:
Ga: 0.7500 0.4054 0.2845  2 Ga 2.53-2.81, 1 Ti 2.65, 2 Mo 2.65
Mo: 0.0000 0.0000 0.0000  2 Mo 2.45, 4 Ga 2.65, 2 Ti 2.71
Ti: 0.7500 0.8178 0.6356  6 Ga 2.65-2.87, 2 Mo 2.71
Mo: 0.5000 0.0000 0.0000  2 Mo 2.45, 4 Ga 2.65, 2 Ti 2.71
Ti: 0.2500 0.5687 0.1375  6 Ga 2.93-3.07, 4 Ti 3.06, 4 Mo 3.07
Ga: 0.2500 0.1209 0.7155  2 Ga 2.53-2.81, 1 Ti 2.65, 2 Mo 2.65
Ti: 0.2500 0.1822 0.3644  6 Ga 2.65-2.87, 2 Mo 2.71
Ga: 0.2500 0.5946 0.7155  2 Ga 2.53-2.81, 1 Ti 2.65, 2 Mo 2.65
Ga: 0.7500 0.8791 0.2845  2 Ga 2.53-2.81, 1 Ti 2.65, 2 Mo 2.65
Ti: 0.7500 0.4313 0.8625  6 Ga 2.93-3.07, 4 Ti 3.06, 4 Mo 3.07

***

CrInAg2Te: relaxed, GGA-PBE.

Calculated values
For the total energy, the calculation gives -3.641 eV per atom. The mass density is 5.78 g/cm3. The uncorrected formation energy comes out at 0.601 eV per atom. For the volume, the calculation gives 29.3 Å³/atom. For the total moment, the calculation gives 3.91 μB/f.u.

Cell: 5.3518 5.1134 5.3518 Å, 90.00 90.00 90.00°
With the nearest neighbours (Å) after each atom.
Sites, in units of the cell vectors:
Te: 0.0000 0.0000 0.0000  2 Cr 2.56, 4 Ag 2.68
Cr: 0.0000 0.5000 0.0000  2 Te 2.56
In: 0.5000 0.5000 0.5000  8 Ag 3.70, 4 Cr 3.78
Ag: 0.5000 0.0000 0.0000  2 Te 2.68
Ag: 0.0000 0.0000 0.5000  2 Te 2.68

***

ScPa2Te2As2: relaxed, GGA-PBE.

Calculated values
For the total energy, the calculation gives -6.595 eV per atom. The mass density is 7.81 g/cm3. The uncorrected formation energy comes out at -0.751 eV per atom. For the volume, the calculation gives 27.7 Å³/atom. For the total moment, the calculation gives 2.75 μB/f.u.

Cell: 5.0353 5.0353 8.4359 Å, 107.36 107.36 90.00°
With the nearest neighbours (Å) after each atom.
Sites, in units of the cell vectors:
Te: 0.1894 0.1894 0.3788  1 Sc 2.90, 1 Pa 3.13
Te: 0.8106 0.8106 0.6212  1 Sc 2.90, 1 Pa 3.13
As: 0.5000 0.0000 0.0000  2 Sc 2.52
Pa: 0.6060 0.6060 0.2120  4 As 2.99, 1 Te 3.13, 1 Pa 3.24
Sc: 0.0000 0.0000 0.0000  4 As 2.52
As: 0.0000 0.5000 0.0000  2 Sc 2.52
Pa: 0.3940 0.3940 0.7880  4 As 2.99, 1 Te 3.13, 1 Pa 3.24

***

KAgS2: relaxed, GGA-PBE.

Calculated values
For the total energy, the calculation gives -3.530 eV per atom. The mass density is 3.04 g/cm3. The uncorrected formation energy comes out at -0.479 eV per atom. For the volume, the calculation gives 28.8 Å³/atom. For the total moment, the calculation gives 0.00 μB/f.u.

Cell: 4.7498 4.7489 10.8226 Å, 81.80 77.28 99.94°
With the nearest neighbours (Å) after each atom.
Sites, in units of the cell vectors:
S: 0.3047 0.9846 0.5012  1 S 2.13, 1 Ag 2.38
K: 0.9347 0.4562 0.4117  6 S 3.20-3.27
K: 0.1320 0.1533 0.9117  6 S 3.20-3.27
S: 0.7618 0.6248 0.8223  1 S 2.13, 1 Ag 2.38
Ag: 0.5335 0.3053 0.1618  2 S 2.38
S: 0.5524 0.9157 0.3223  1 S 2.13, 1 Ag 2.38
S: 0.5142 0.6942 0.0011  1 S 2.13, 1 Ag 2.38
Ag: 0.5336 0.8052 0.6617  2 S 2.38